Computed, not measured: a relaxed structure of GaCuNi2O5 at the GGA+U level of DFT.

Lattice parameters (Å, degrees): 6.0034 6.0034 10.6786 90.00 90.00 151.12
Element x y z (fractional)
Ga 0.2369 0.7631 0.5000
Ga 0.7631 0.2369 0.0000
Cu 0.0562 0.9438 0.9242
Cu 0.9438 0.0562 0.4242
Ni 0.3298 0.6702 0.7303
Ni 0.4490 0.5510 0.1484
Ni 0.5510 0.4490 0.6484
Ni 0.6702 0.3298 0.2303
O 0.0221 0.9779 0.2657
O 0.0788 0.9212 0.5228
O 0.2327 0.7673 0.8869
O 0.2714 0.7286 0.1519
O 0.3978 0.6022 0.5440
O 0.6022 0.3978 0.0440
O 0.7286 0.2714 0.6519
O 0.7673 0.2327 0.3869
O 0.9212 0.0788 0.0228
O 0.9779 0.0221 0.7657

Output
The value obtained for the density is 5.908 g/cm³. For the spin magnetization, the calculation gives 5.97 μB per cell. Its total energy is -5.0838 eV per atom. The calculation puts the density of states at the Fermi level at 8.77 states/eV per cell.